No. 1
Compound: KBa2CeS4
Source: Alexandria
Functional: PBE
Structure: relaxed

Geometry as extended XYZ:
```
16
Lattice="-4.400 4.460 6.203 4.400 -4.460 6.203 4.400 4.460 -6.203" Properties=species:S:1:pos:R:3 pbc="T T T"
K 0.000 0.000 0.000
K 0.000 4.460 0.000
Ba 4.400 0.000 0.000
Ba -2.200 2.230 3.101
Ba 0.000 0.000 6.203
Ba 2.200 2.230 3.101
Ce 2.200 2.230 -3.101
Ce 2.200 -2.230 3.101
S 4.400 -0.204 3.097
S 4.400 4.256 -3.097
S 2.241 2.230 -0.240
S 6.559 2.230 -0.240
S -2.159 2.230 6.443
S 2.159 2.230 6.443
S 0.000 0.204 9.300
S 0.000 4.664 3.106
```

Computed properties:
* ΔE_f (raw): -179.0 kJ/mol of atoms

No. 2
Compound: Tm2IrPt
Source: Alexandria
Functional: PBE
Structure: relaxed

Geometry as extended XYZ:
```
4
Lattice="0.000 3.413 3.413 3.413 0.000 3.413 3.413 3.413 0.000" Properties=species:S:1:pos:R:3 pbc="T T T"
Tm 1.707 1.707 1.707
Tm 5.120 5.120 5.120
Ir 0.000 0.000 0.000
Pt 3.413 3.413 3.413
```

Computed properties:
* formation energy: -1102 meV per atom

No. 3
Compound: KMnBr2
Source: Alexandria
Functional: PBE
Structure: relaxed

Geometry as extended XYZ:
```
4
Lattice="3.963 -3.944 0.000 3.963 3.944 0.000 -0.695 0.000 3.626" Properties=species:S:1:pos:R:3 pbc="T T T"
K 0.000 0.000 0.000
Mn 3.963 0.000 0.000
Br 1.634 1.972 1.813
Br 1.634 -1.972 1.813
```

Computed properties:
* ΔE to the lowest computed polymorph: 0.208 eV per atom
* ΔE_f (raw): -52.3 kJ/mol of atoms

no.,electronic total energy (eV/atom)
1,-5.279
2,-7.063
3,-3.945